Entry 1:
The following is a PBE calculation of a relaxed TmInRu crystal, from the Alexandria database.

a = 3.452 Å, b = 4.620 Å, c = 4.620 Å
α = 120.00°, β = 90.00°, γ = 90.00°
Positions (direct):
Tm (0.666, 0.667, 0.333)
In (0.166, 0.000, 0.000)
Ru (0.167, 0.333, 0.667)

Entry 2:
The following is a PBE calculation of a relaxed Tm2In8Ru crystal, from the Alexandria database.

a = 4.618 Å, b = 4.618 Å, c = 12.189 Å
α = 90.00°, β = 90.00°, γ = 90.00°
Positions (direct):
In (0.000, 0.500, 0.877)
In (0.500, 0.500, 0.690)
In (0.500, 0.000, 0.123)
In (0.500, 0.000, 0.500)
In (0.500, 0.500, 0.310)
In (0.000, 0.500, 0.123)
In (0.500, 0.000, 0.877)
In (0.000, 0.500, 0.500)
Tm (0.000, 0.000, 0.692)
Tm (0.000, 0.000, 0.308)
Ru (0.000, 0.000, 0.000)

Entry 3:
The following is a PBE calculation of a relaxed TmInRu crystal, from the Alexandria database.

a = 4.615 Å, b = 4.615 Å, c = 4.615 Å
α = 60.00°, β = 60.00°, γ = 60.00°
Positions (direct):
In (0.500, 0.500, 0.500)
Tm (0.000, 0.000, 0.000)
Ru (0.250, 0.250, 0.250)

Entry 4:
The following is a PBE calculation of a relaxed Tm6In3Ru crystal, from the Alexandria database.

Results
The excess energy over the best structure of this formula in the dataset is 0 meV/atom.

a = 5.207 Å, b = 9.113 Å, c = 11.194 Å
α = 107.42°, β = 90.00°, γ = 90.00°
Positions (direct):
Tm (0.250, 0.456, 0.083)
Tm (0.750, 0.785, 0.505)
Tm (0.750, 0.896, 0.147)
Tm (0.250, 0.104, 0.853)
Tm (0.750, 0.150, 0.671)
Tm (0.750, 0.874, 0.839)
Tm (0.250, 0.695, 0.667)
Tm (0.250, 0.215, 0.495)
Tm (0.250, 0.126, 0.161)
Tm (0.750, 0.544, 0.917)
Tm (0.750, 0.305, 0.333)
Tm (0.250, 0.850, 0.329)
In (0.750, 0.489, 0.619)
In (0.750, 0.222, 0.023)
In (0.750, 0.595, 0.219)
In (0.250, 0.511, 0.381)
In (0.250, 0.778, 0.977)
In (0.250, 0.405, 0.781)
Ru (0.250, 0.962, 0.594)
Ru (0.750, 0.038, 0.406)

Entry 5:
The following is a PBE calculation of a relaxed TmIn2Ru crystal, from the Alexandria database.

a = 5.450 Å, b = 8.605 Å, c = 14.854 Å
α = 90.00°, β = 90.00°, γ = 90.00°
Positions (direct):
In (0.011, 0.548, 0.786)
In (0.249, 0.457, 0.462)
In (0.011, 0.952, 0.786)
In (0.511, 0.048, 0.714)
In (0.989, 0.048, 0.214)
In (0.989, 0.452, 0.214)
In (0.489, 0.548, 0.286)
In (0.489, 0.952, 0.286)
In (0.749, 0.543, 0.038)
In (0.251, 0.043, 0.962)
In (0.251, 0.457, 0.962)
In (0.751, 0.543, 0.538)
In (0.249, 0.043, 0.462)
In (0.751, 0.957, 0.538)
In (0.749, 0.957, 0.038)
In (0.511, 0.452, 0.714)
Ru (0.480, 0.750, 0.433)
Ru (0.980, 0.250, 0.067)
Ru (0.520, 0.250, 0.567)
Ru (0.266, 0.250, 0.317)
Ru (0.234, 0.250, 0.817)
Ru (0.734, 0.750, 0.683)
Ru (0.766, 0.750, 0.183)
Ru (0.020, 0.750, 0.933)
Tm (0.530, 0.750, 0.861)
Tm (0.751, 0.250, 0.397)
Tm (0.749, 0.250, 0.897)
Tm (0.970, 0.750, 0.361)
Tm (0.470, 0.250, 0.139)
Tm (0.249, 0.750, 0.603)
Tm (0.251, 0.750, 0.103)
Tm (0.030, 0.250, 0.639)

Entry 6:
The following is a PBE calculation of a relaxed Tm3InRu crystal, from the Alexandria database.

Results
The excess energy over the best structure of this formula in the dataset is 0 meV/atom.

a = 5.730 Å, b = 5.730 Å, c = 8.700 Å
α = 102.16°, β = 102.16°, γ = 111.12°
Positions (direct):
Tm (0.300, 0.800, 0.100)
Tm (0.700, 0.200, 0.900)
Tm (0.699, 0.576, 0.274)
Tm (0.924, 0.801, 0.726)
Tm (0.076, 0.199, 0.274)
Tm (0.301, 0.424, 0.726)
Ru (0.250, 0.250, 0.000)
Ru (0.750, 0.750, 0.000)
In (0.711, 0.211, 0.500)
In (0.289, 0.789, 0.500)

Entry 7:
The following is a PBE calculation of a relaxed Tm12InRu6 crystal, from the Alexandria database.

a = 8.400 Å, b = 8.400 Å, c = 8.400 Å
α = 109.47°, β = 109.47°, γ = 109.47°
Positions (direct):
Ru (0.626, 0.500, 0.126)
Ru (0.500, 0.126, 0.626)
Ru (0.126, 0.626, 0.500)
Ru (0.874, 0.374, 0.500)
Ru (0.374, 0.500, 0.874)
Ru (0.500, 0.874, 0.374)
Tm (0.898, 0.193, 0.705)
Tm (0.193, 0.705, 0.898)
Tm (0.807, 0.705, 0.512)
Tm (0.512, 0.807, 0.705)
Tm (0.705, 0.512, 0.807)
Tm (0.102, 0.807, 0.295)
Tm (0.488, 0.193, 0.295)
Tm (0.295, 0.102, 0.807)
Tm (0.295, 0.488, 0.193)
Tm (0.807, 0.295, 0.102)
Tm (0.193, 0.295, 0.488)
Tm (0.705, 0.898, 0.193)
In (0.000, 0.000, 0.000)

Entry 8:
The following is a PBE calculation of a relaxed Tm2In2Ru crystal, from the Alexandria database.

a = 3.374 Å, b = 3.374 Å, c = 10.446 Å
α = 99.29°, β = 99.29°, γ = 90.00°
Positions (direct):
In (0.803, 0.803, 0.605)
In (0.197, 0.197, 0.395)
Tm (0.581, 0.581, 0.161)
Tm (0.419, 0.419, 0.839)
Ru (0.000, 0.000, 0.000)

Entry 9:
The following is a PBE calculation of a relaxed TmInRu2 crystal, from the Alexandria database.

a = 3.389 Å, b = 4.578 Å, c = 4.578 Å
α = 90.00°, β = 90.00°, γ = 90.00°
Positions (direct):
Ru (0.000, 0.500, 0.000)
Ru (0.000, 0.000, 0.500)
In (0.500, 0.000, 0.000)
Tm (0.500, 0.500, 0.500)

Entry 10:
The following is a PBE calculation of a relaxed Tm8InRu2 crystal, from the Alexandria database.

Results
The excess energy over the best structure of this formula in the dataset is 0 meV/atom.

a = 5.361 Å, b = 7.798 Å, c = 7.798 Å
α = 112.47°, β = 97.67°, γ = 97.67°
Positions (direct):
Tm (0.500, 0.248, 0.752)
Tm (0.500, 0.752, 0.248)
Tm (0.301, 0.615, 0.615)
Tm (0.921, 0.670, 0.935)
Tm (0.921, 0.935, 0.670)
Tm (0.079, 0.065, 0.330)
Tm (0.079, 0.330, 0.065)
Tm (0.699, 0.385, 0.385)
In (0.500, 0.000, 0.000)
Ru (0.000, 0.685, 0.315)
Ru (0.000, 0.315, 0.685)

Entry 11:
The following is a PBE calculation of a relaxed Tm8InRu2 crystal, from the Alexandria database.

Results
The excess energy over the best structure of this formula in the dataset is 8 meV/atom.

a = 5.199 Å, b = 6.853 Å, c = 8.944 Å
α = 112.47°, β = 106.89°, γ = 90.01°
Positions (direct):
Tm (0.347, 0.857, 0.331)
Tm (0.306, 0.353, 0.248)
Tm (0.137, 0.546, 0.910)
Tm (0.527, 0.709, 0.689)
Tm (0.967, 0.015, 0.570)
Tm (0.747, 0.930, 0.130)
Tm (0.636, 0.274, 0.908)
Tm (0.926, 0.436, 0.487)
Ru (0.806, 0.621, 0.250)
Ru (0.465, 0.280, 0.568)
In (0.137, 0.979, 0.909)

Entry 12:
The following is a PBE calculation of a relaxed Tm8In2Ru crystal, from the Alexandria database.

a = 5.376 Å, b = 6.912 Å, c = 8.987 Å
α = 111.62°, β = 107.40°, γ = 90.00°
Positions (direct):
Tm (0.010, 0.770, 0.020)
Tm (0.606, 0.404, 0.213)
Tm (0.394, 0.596, 0.787)
Tm (0.640, 0.911, 0.279)
Tm (0.808, 0.760, 0.615)
Tm (0.192, 0.240, 0.385)
Tm (0.360, 0.089, 0.721)
Tm (0.990, 0.230, 0.980)
In (0.817, 0.310, 0.634)
In (0.183, 0.690, 0.366)
Ru (0.500, 0.000, 0.000)

Result set for DFT formation energy: -199 -287 -216 -384 -325 -437 -336 -398 -236 -290 -281 -282 meV/atom, one per record in the order listed.
Result set for DFT total energy: -5.6938 -3.9351 -5.7114 -4.8156 -5.1313 -5.5224 -6.2335 -5.1369 -6.6766 -5.4771 -5.4688 -4.8750 eV/atom, one per record in the order listed.